# PBE-GGA K2RbPtI, optimized geometry
# * M_tot: 0.00 μB/atom
# * formation energy (no corrections): -249.3 kJ/mol of formula units
data_K2RbPtI
_chemical_formula_sum 'K2 Rb1 Pt1 I1'
_cell_length_a 6.108
_cell_length_b 6.108
_cell_length_c 6.346
_cell_angle_alpha 90.00
_cell_angle_beta 90.00
_cell_angle_gamma 90.00
_symmetry_space_group_name_H-M 'P 1'
_symmetry_Int_Tables_number 1
loop_
_symmetry_equiv_pos_as_xyz
'x,y,z'
loop_
_atom_site_label
_atom_site_type_symbol
_atom_site_fract_x
_atom_site_fract_y
_atom_site_fract_z
K1 K 0.000 0.500 0.000
K2 K 0.500 0.000 0.000
Rb1 Rb 0.000 0.000 0.500
Pt1 Pt 0.000 0.000 0.000
I1 I 0.500 0.500 0.500